A relaxed KZnHg2Ru crystal, computed with PBE.

Values from the calculation:
formation energy from the elements = 1.45 eV/atom
theoretical density = 4.52 Mg/m³

CIF file:
```
data_KZnHg2Ru
_chemical_formula_sum 'K1 Zn1 Hg2 Ru1'
_cell_length_a 6.116
_cell_length_b 6.116
_cell_length_c 5.953
_cell_angle_alpha 90.00
_cell_angle_beta 90.00
_cell_angle_gamma 90.00
_space_group_name_H-M_alt 'P 4/m m m'
_space_group_IT_number 123
_space_group_name_Hall '-P 4 2'
loop_
_atom_site_label
_atom_site_type_symbol
_atom_site_fract_x
_atom_site_fract_y
_atom_site_fract_z
_atom_site_occupancy
K1 K 0.000 0.000 0.000 1
Zn1 Zn 0.000 0.000 0.500 1
Hg1 Hg 0.000 0.500 0.000 1
Ru1 Ru 0.500 0.500 0.500 1
```

---

A relaxed KHg2S2 crystal, computed with PBE.

Values from the calculation:
E above lowest polymorph = 0 meV/atom
formation energy from raw total energies = -338 meV per atom
theoretical density = 5.80 Mg/m³

CIF file:
```
data_KHg2S2
_chemical_formula_sum 'K4 Hg8 S8'
_cell_length_a 9.497
_cell_length_b 11.148
_cell_length_c 7.203
_cell_angle_alpha 90.00
_cell_angle_beta 130.77
_cell_angle_gamma 90.00
_space_group_name_H-M_alt 'C 1 2/c 1'
_space_group_IT_number 15
loop_
_space_group_symop_operation_xyz
'x,y,z'
'-x,-y,-z'
'-x,y,-z+1/2'
'x,-y,z+1/2'
'x+1/2,y+1/2,z'
'-x+1/2,-y+1/2,-z'
'-x+1/2,y+1/2,-z+1/2'
'x+1/2,-y+1/2,z+1/2'
loop_
_atom_site_label
_atom_site_type_symbol
_atom_site_fract_x
_atom_site_fract_y
_atom_site_fract_z
_atom_site_occupancy
K1 K 0.000 0.126 0.250 1
Hg1 Hg 0.157 0.376 0.061 1
S1 S 0.000 0.166 0.750 1
S2 S 0.000 0.416 0.250 1
```